RbGa3Bi | PBE | relaxed

Cell lengths 5.783, 5.783, 5.783 Å; angles 90.00, 90.00, 90.00 degrees
Space group Pm-3m (No. 221)
Inequivalent atoms, fractional coordinates:
Rb1 0.000 0.000 0.000 [1 per cell]
Ga1 0.000 0.500 0.500 [3 per cell]
Bi1 0.500 0.500 0.500 [1 per cell]

## Properties
Theoretical density   4.3 g/cm³
Relative energy among the computed polymorphs   0 meV/atom
E_form   34.5 kJ/mol of atoms
Density of states at the Fermi level   3.51 states/eV per cell

---

Rb2GaBi | PBE | relaxed

Cell lengths 5.224, 5.224, 24.702 Å; angles 90.00, 90.00, 90.00 degrees
Space group I-42d (No. 122)
Inequivalent atoms, fractional coordinates:
Rb1 0.237 0.250 0.125 [8 per cell]
Ga1 0.000 0.000 0.000 [4 per cell]
Bi1 0.000 0.000 0.500 [4 per cell]

## Properties
Theoretical density   4.4 g/cm³
Relative energy among the computed polymorphs   434 meV/atom
E_form   21.3 kJ/mol of atoms
Density of states at the Fermi level   14.22 states/eV per cell

---

Number 1: electronic total energy -2.428 eV/atom. Number 2: electronic total energy -1.990 eV/atom.